Material: LiH3F
Method: DFT, PBE
State: relaxed

Values from the calculation:
Calculated density   1.055 g/cm³
Distance to the lowest polymorph of the same formula   0 meV per atom

Cell lengths 3.5726, 3.5726, 3.5726 Å; angles 90.00, 90.00, 90.00 degrees
Last column: nearest neighbours and their distance in Å.
Space group Pm-3m (No. 221)
Symmetry-distinct sites (fractional):
Li (0.0000, 0.0000, 0.0000) (multiplicity 1)  12 H 2.53
H (0.0000, 0.5000, 0.5000) (multiplicity 3)  2 F 1.79
F (0.5000, 0.5000, 0.5000) (multiplicity 1)  6 H 1.79

***

Material: Li4HF2
Method: DFT, PBE
State: relaxed

Values from the calculation:
Calculated density   1.339 g/cm³
Distance to the lowest polymorph of the same formula   0 meV per atom

Cell lengths 3.3388, 3.3388, 14.8539 Å; angles 90.00, 90.00, 90.00 degrees
Last column: nearest neighbours and their distance in Å.
Space group I4/mmm (No. 139)
Symmetry-distinct sites (fractional):
Li (0.0000, 0.0000, 0.1587) (multiplicity 4)  1 H 2.36, 4 F 2.59
Li (0.0000, 0.5000, 0.0000) (multiplicity 4)  2 H 1.67
H (0.0000, 0.0000, 0.0000) (multiplicity 2)  4 Li 1.67
F (0.0000, 0.0000, 0.4125) (multiplicity 4)  4 Li 2.12

***

| no. | VASP energy (eV/atom) | total magnetic moment (μB per atom) |
| --- | --- | --- |
| 1 | -2.169 | 0.249 |
| 2 | -3.601 | 0.000 |